w.
Computed, not measured: a geometry-optimized Tm3MgPb4 structure at the PBE level of DFT.

Properties
M_tot: 0.000 μB/atom

a b c (Å): 10.2022 6.6784 6.4526
angles (deg): 90.00 90.00 90.00
Space group Pmn2_1 (No. 31)
Unique sites:
Tm 0.0000 0.0132 0.0000 (multiplicity 2)
Tm 0.2490 0.7211 0.7575 (multiplicity 4)
Mg 0.0000 0.5104 0.0192 (multiplicity 2)
Pb 0.0000 0.9998 0.5030 (multiplicity 2)
Pb 0.0000 0.4962 0.5177 (multiplicity 2)
Pb 0.2458 0.7776 0.2553 (multiplicity 4)

x.
Computed, not measured: a geometry-optimized Tm3MgPb4 structure at the PBE level of DFT.

Properties
M_tot: 0.000 μB/atom

a b c (Å): 10.7243 6.3607 6.3746
angles (deg): 90.00 90.00 90.00
Space group Pmn2_1 (No. 31)
Unique sites:
Tm 0.0000 0.9995 0.0000 (multiplicity 2)
Tm 0.2496 0.2631 0.2504 (multiplicity 4)
Mg 0.0000 0.5040 0.4986 (multiplicity 2)
Pb 0.0000 0.0032 0.5006 (multiplicity 2)
Pb 0.0000 0.4993 0.9984 (multiplicity 2)
Pb 0.2492 0.7625 0.2507 (multiplicity 4)

Of them, x has the highest stability.

w.
Computed, not measured: a geometry-optimized Tm2Mg2Pb structure at the PBE level of DFT.

Properties
M_tot: 0.000 μB/atom

a b c (Å): 12.3697 3.7589 6.1813
angles (deg): 90.00 97.51 90.00
Space group C2/m (No. 12)
Unique sites:
Tm 0.1933 0.0000 0.2199 (multiplicity 4)
Mg 0.0872 0.0000 0.6825 (multiplicity 4)
Pb 0.0000 0.5000 0.0000 (multiplicity 2)

x.
Computed, not measured: a geometry-optimized Tm2Mg2Pb structure at the PBE level of DFT.

Properties
M_tot: 0.000 μB/atom

a b c (Å): 3.9446 3.9446 18.3401
angles (deg): 90.00 90.00 90.00
Space group I4/mmm (No. 139)
Unique sites:
Tm 0.0000 0.0000 0.0976 (multiplicity 4)
Mg 0.0000 0.5000 0.2500 (multiplicity 4)
Pb 0.0000 0.0000 0.5000 (multiplicity 2)

Of them, w has the highest stability.

w.
Computed, not measured: a geometry-optimized Tm4MgPb2 structure at the PBE level of DFT.

Properties
M_tot: 0.108 μB/atom

a b c (Å): 8.5145 9.8734 4.7878
angles (deg): 90.00 90.00 90.00
Space group Cmmm (No. 65)
Unique sites:
Tm 0.2269 0.0000 0.0000 (multiplicity 4)
Tm 0.2500 0.2500 0.5000 (multiplicity 4)
Mg 0.0000 0.5000 0.5000 (multiplicity 2)
Pb 0.0000 0.2648 0.0000 (multiplicity 4)

x.
Computed, not measured: a geometry-optimized Tm4MgPb2 structure at the PBE level of DFT.

Properties
M_tot: 0.000 μB/atom

a b c (Å): 7.6741 6.5016 8.6956
angles (deg): 90.00 113.06 90.00
Space group P2_1/m (No. 11)
Unique sites:
Tm 0.0139 0.2500 0.0209 (multiplicity 2)
Tm 0.1647 0.0024 0.7189 (multiplicity 4)
Tm 0.2994 0.7500 0.3881 (multiplicity 2)
Mg 0.4553 0.2500 0.2109 (multiplicity 2)
Pb 0.2317 0.2500 0.4256 (multiplicity 2)
Pb 0.4181 0.7500 0.0778 (multiplicity 2)

Of them, w has the highest stability.